1.
# ErCrGe2

Crystalline ErCrGe2 at its relaxed geometry (GGA-PBE, Alexandria via LeMat-Bulk).

Calculated values
Its space-group type is R-3m, No. 166. Its crystal system is trigonal. The formation enthalpy at 0 K is -0.35 eV/atom. Its density of states at the Fermi level is 2.44 states/eV/f.u.

a = 4.168 Å, b = 4.168 Å, c = 5.542 Å
α = 67.91°, β = 67.91°, γ = 60.00°
Sites, in units of the cell vectors:
Cr1 0.500 0.500 0.500
Ge1 0.774 0.774 0.677
Ge2 0.226 0.226 0.323
Er1 0.000 0.000 0.000



2.
# KCd2Cu

Crystalline KCd2Cu at its relaxed geometry (GGA-PBE, Alexandria via LeMat-Bulk).

Calculated values
Its space-group type is Pmm2, No. 25. Its crystal system is orthorhombic. The formation enthalpy at 0 K is 0.12 eV/atom. The calculation puts the energy above the lowest structure with this stoichiometry at 89 meV per atom. Its density of states at the Fermi level is 1.00 states/eV/f.u.

a = 3.171 Å, b = 4.019 Å, c = 8.183 Å
α = 90.00°, β = 90.00°, γ = 90.00°
Sites, in units of the cell vectors:
Cd1 0.000 0.000 0.054
Cd2 0.500 0.500 0.306
Cu1 0.000 0.000 0.408
K1 0.500 0.500 0.731



3.
# Cs2TlTe4As

Crystalline Cs2TlTe4As at its relaxed geometry (GGA-PBE, Alexandria via LeMat-Bulk).

Calculated values
The value obtained for the total DFT energy (no corrections) is -50.06 eV per cell. Its space-group type is Fddd, No. 70. Its crystal system is orthorhombic.

a = 6.980 Å, b = 8.665 Å, c = 13.674 Å
α = 84.10°, β = 75.21°, γ = 66.25°
Sites, in units of the cell vectors:
Cs1 0.184 0.000 0.631
Cs2 0.816 0.000 0.369
Cs3 0.566 0.500 0.869
Cs4 0.934 0.500 0.131
Tl1 0.750 0.500 0.500
Tl2 0.000 0.000 0.000
Te1 0.305 0.798 0.123
Te2 0.226 0.202 0.877
Te3 0.896 0.798 0.877
Te4 0.572 0.202 0.123
Te5 0.445 0.702 0.377
Te6 0.524 0.298 0.623
Te7 0.854 0.702 0.623
Te8 0.178 0.298 0.377
As1 0.250 0.500 0.500
As2 0.500 0.000 0.000



4.
# ErPRh

Crystalline ErPRh at its relaxed geometry (GGA-PBE, Alexandria via LeMat-Bulk).

Calculated values
Its space-group type is P-3m1, No. 164. Its crystal system is trigonal. The formation enthalpy at 0 K is -0.64 eV/atom. Its density of states at the Fermi level is 1.87 states/eV/f.u.

a = 3.765 Å, b = 3.765 Å, c = 10.235 Å
α = 90.00°, β = 90.00°, γ = 120.00°
Sites, in units of the cell vectors:
Rh1 0.667 0.333 0.587
Rh2 0.333 0.667 0.413
P1 0.667 0.333 0.331
P2 0.333 0.667 0.669
Er1 0.667 0.333 0.857
Er2 0.333 0.667 0.143



5.
# Pr2AlZn12Ni3

Crystalline Pr2AlZn12Ni3 at its relaxed geometry (GGA-PBE, Alexandria via LeMat-Bulk).

Calculated values
Its space-group type is R-3m, No. 166. Its crystal system is trigonal. The formation enthalpy at 0 K is 0.21 eV/atom. Its density of states at the Fermi level is 8.23 states/eV/f.u.

a = 7.874 Å, b = 7.874 Å, c = 7.874 Å
α = 64.61°, β = 64.61°, γ = 64.61°
Sites, in units of the cell vectors:
Pr1 0.603 0.603 0.603
Pr2 0.397 0.397 0.397
Al1 0.000 0.000 0.000
Zn1 0.316 0.316 0.860
Zn2 0.873 0.873 0.379
Zn3 0.379 0.873 0.873
Zn4 0.860 0.316 0.316
Zn5 0.873 0.379 0.873
Zn6 0.316 0.860 0.316
Zn7 0.684 0.684 0.140
Zn8 0.127 0.127 0.621
Zn9 0.621 0.127 0.127
Zn10 0.140 0.684 0.684
Zn11 0.127 0.621 0.127
Zn12 0.684 0.140 0.684
Ni1 0.500 0.000 0.000
Ni2 0.000 0.500 0.000
Ni3 0.000 0.000 0.500



6.
# TlFeI2

Crystalline TlFeI2 at its relaxed geometry (GGA-PBE, Alexandria via LeMat-Bulk).

Calculated values
Its space-group type is R-3m, No. 166. Its crystal system is trigonal. The calculation puts the energy above the lowest structure with this stoichiometry at 191 meV per atom. Its density of states at the Fermi level is 2.68 states/eV/f.u.

a = 3.824 Å, b = 3.824 Å, c = 9.513 Å
α = 78.40°, β = 78.40°, γ = 60.00°
Sites, in units of the cell vectors:
I1 0.283 0.283 0.152
I2 0.717 0.717 0.848
Tl1 0.500 0.500 0.500
Fe1 0.000 0.000 0.000



7.
# KTcSe2Br

Crystalline KTcSe2Br at its relaxed geometry (GGA-PBE, Alexandria via LeMat-Bulk).

Calculated values
Its space-group type is P4/mmm, No. 123. Its crystal system is tetragonal. The calculation puts the energy above the lowest structure with this stoichiometry at 0 meV per atom. Its density of states at the Fermi level is 3.06 states/eV/f.u.

a = 4.853 Å, b = 4.853 Å, c = 5.696 Å
α = 90.00°, β = 90.00°, γ = 90.00°
Sites, in units of the cell vectors:
K1 0.500 0.500 0.500
Se1 0.000 0.500 0.000
Se2 0.500 0.000 0.000
Tc1 0.000 0.000 0.000
Br1 0.000 0.000 0.500



8.
# In3AgSb

Crystalline In3AgSb at its relaxed geometry (GGA-PBE, Alexandria via LeMat-Bulk).

Calculated values
Its space-group type is Pm-3m, No. 221. Its crystal system is cubic. The calculation puts the energy above the lowest structure with this stoichiometry at 0 meV per atom. Its density of states at the Fermi level is 4.57 states/eV/f.u.

a = 5.330 Å, b = 5.330 Å, c = 5.330 Å
α = 90.00°, β = 90.00°, γ = 90.00°
Sites, in units of the cell vectors:
Sb1 0.500 0.500 0.500
Ag1 0.000 0.000 0.000
In1 0.000 0.500 0.000
In2 0.000 0.000 0.500
In3 0.500 0.000 0.000



9.
# Pm3HgPt8

Crystalline Pm3HgPt8 at its relaxed geometry (GGA-PBE, Alexandria via LeMat-Bulk).

Calculated values
Its space-group type is R3m, No. 160. Its crystal system is trigonal. The formation enthalpy at 0 K is -0.94 eV/atom. Its density of states at the Fermi level is 5.71 states/eV/f.u.

a = 5.473 Å, b = 5.473 Å, c = 9.495 Å
α = 73.25°, β = 73.25°, γ = 60.00°
Sites, in units of the cell vectors:
Pm1 0.378 0.378 0.867
Pm2 0.992 0.992 0.024
Pm3 0.507 0.507 0.479
Hg1 0.871 0.871 0.387
Pt1 0.943 0.437 0.183
Pt2 0.435 0.937 0.691
Pt3 0.437 0.437 0.183
Pt4 0.937 0.937 0.691
Pt5 0.188 0.188 0.436
Pt6 0.688 0.688 0.936
Pt7 0.437 0.943 0.183
Pt8 0.937 0.435 0.691



10.
# LaGa3Pd

Crystalline LaGa3Pd at its relaxed geometry (GGA-PBE, Alexandria via LeMat-Bulk).

Calculated values
Its space-group type is P6_3/mmc, No. 194. Its crystal system is hexagonal. The formation enthalpy at 0 K is -0.66 eV/atom. The calculation puts the energy above the lowest structure with this stoichiometry at 105 meV per atom. Its density of states at the Fermi level is 3.23 states/eV/f.u.

a = 5.856 Å, b = 6.330 Å, c = 6.330 Å
α = 120.00°, β = 90.00°, γ = 90.00°
Sites, in units of the cell vectors:
La1 0.750 0.667 0.333
La2 0.250 0.333 0.667
Ga1 0.750 0.614 0.807
Ga2 0.250 0.807 0.614
Ga3 0.250 0.386 0.193
Ga4 0.750 0.193 0.386
Ga5 0.250 0.807 0.193
Ga6 0.750 0.193 0.807
Pd1 0.000 0.000 0.000
Pd2 0.500 0.000 0.000



11.
# CdCo2Ru

Crystalline CdCo2Ru at its relaxed geometry (GGA-PBE, Alexandria via LeMat-Bulk).

Calculated values
Its space-group type is F-43m, No. 216. Its crystal system is cubic. The formation enthalpy at 0 K is 0.47 eV/atom. Its density of states at the Fermi level is 4.86 states/eV/f.u.

a = 4.322 Å, b = 4.322 Å, c = 4.322 Å
α = 60.00°, β = 60.00°, γ = 60.00°
Sites, in units of the cell vectors:
Cd1 0.500 0.500 0.500
Co1 0.000 0.000 0.000
Co2 0.750 0.750 0.750
Ru1 0.250 0.250 0.250



12.
# HoCo2Si4

Crystalline HoCo2Si4 at its relaxed geometry (GGA-PBE, Alexandria via LeMat-Bulk).

Calculated values
The value obtained for the total DFT energy (no corrections) is -179.04 eV per cell. Its space-group type is Pnma, No. 62. Its crystal system is orthorhombic. Its density of states at the Fermi level is 1.80 states/eV/f.u.

a = 3.916 Å, b = 6.192 Å, c = 16.144 Å
α = 90.00°, β = 90.00°, γ = 90.00°
Sites, in units of the cell vectors:
Ho1 0.750 0.010 0.641
Ho2 0.250 0.990 0.359
Ho3 0.250 0.510 0.859
Ho4 0.750 0.490 0.141
Co1 0.250 0.747 0.534
Co2 0.750 0.253 0.466
Co3 0.750 0.247 0.966
Co4 0.250 0.753 0.034
Co5 0.250 0.987 0.788
Co6 0.750 0.013 0.212
Co7 0.750 0.487 0.712
Co8 0.250 0.513 0.288
Si1 0.250 0.289 0.700
Si2 0.750 0.711 0.300
Si3 0.750 0.789 0.800
Si4 0.250 0.211 0.200
Si5 0.250 0.687 0.682
Si6 0.750 0.313 0.318
Si7 0.750 0.187 0.818
Si8 0.250 0.813 0.182
Si9 0.250 0.137 0.527
Si10 0.750 0.863 0.473
Si11 0.750 0.637 0.973
Si12 0.250 0.363 0.027
Si13 0.250 0.473 0.433
Si14 0.750 0.527 0.567
Si15 0.750 0.973 0.067
Si16 0.250 0.027 0.933



13.
# KPaSiN4

Crystalline KPaSiN4 at its relaxed geometry (GGA-PBE, Alexandria via LeMat-Bulk).

Calculated values
The value obtained for the total DFT energy (no corrections) is -109.44 eV per cell. Its space-group type is P2_1/m, No. 11. Its crystal system is monoclinic.

a = 5.975 Å, b = 4.125 Å, c = 8.694 Å
α = 90.00°, β = 102.30°, γ = 90.00°
Sites, in units of the cell vectors:
K1 0.734 0.750 0.993
K2 0.266 0.250 0.007
Pa1 0.719 0.750 0.420
Pa2 0.281 0.250 0.580
Si1 0.218 0.750 0.308
Si2 0.782 0.250 0.692
N1 0.983 0.573 0.689
N2 0.017 0.073 0.311
N3 0.017 0.427 0.311
N4 0.983 0.927 0.689
N5 0.432 0.750 0.207
N6 0.568 0.250 0.793
N7 0.365 0.750 0.508
N8 0.635 0.250 0.492